The following is a PBE+U calculation of crystalline Mn2Hg2SF6 at its relaxed geometry, from Alexandria via LeMat-Bulk.

Lattice parameters (Å, degrees): 7.905 7.905 7.905 60.00 60.00 60.00
Last column: magnetic moment on the atom in μB.
Element x y z (fractional)
Mn  0.625  0.125  0.125  4.69
Mn  0.125  0.125  0.625  4.69
Mn  0.125  0.625  0.125  4.69
Mn  0.125  0.125  0.125  4.69
Hg  0.125  0.625  0.625  0.01
Hg  0.625  0.625  0.125  0.01
Hg  0.625  0.125  0.625  0.01
Hg  0.625  0.625  0.625  0.01
S  0.500  0.500  0.500  0.01
S  0.750  0.750  0.750  0.01
F  0.201  0.201  0.799  0.04
F  0.201  0.799  0.799  0.04
F  0.049  0.049  0.451  0.04
F  0.799  0.799  0.201  0.04
F  0.451  0.049  0.049  0.04
F  0.049  0.451  0.049  0.04
F  0.799  0.201  0.201  0.04
F  0.049  0.451  0.451  0.04
F  0.451  0.451  0.049  0.04
F  0.799  0.201  0.799  0.04
F  0.201  0.799  0.201  0.04
F  0.451  0.049  0.451  0.04

Results
**Size of the total moment**: 0.908 μB per atom
**Uncorrected energy**: -4.748 eV per atom
**D(E_F)**: 2.19 states/eV per cell


The following is a PBE+U calculation of crystalline MgPaNiO6 at its relaxed geometry, from Alexandria via LeMat-Bulk.

Lattice parameters (Å, degrees): 4.661 5.081 5.081 120.00 90.00 90.00
Last column: magnetic moment on the atom in μB.
Element x y z (fractional)
Mg  0.500  0.000  0.000  0.00
Pa  0.000  0.333  0.667  -0.03
Ni  0.500  0.667  0.333  -0.20
O  0.729  0.669  0.640  0.18
O  0.729  0.360  0.029  0.18
O  0.729  0.971  0.331  0.18
O  0.271  0.360  0.331  0.18
O  0.271  0.669  0.029  0.18
O  0.271  0.971  0.640  0.18

Results
**Size of the total moment**: 0.113 μB per atom
**Uncorrected energy**: -6.811 eV per atom
**D(E_F)**: 5.06 states/eV per cell